Entry 1:
DFT (PBE) results for crystalline Na4ZnPbAu2 at its relaxed geometry.

The total energy is -0.168 Ry/atom. Its crystal system is tetragonal.

a = 4.895 Å, b = 4.895 Å, c = 7.283 Å
α = 90.00°, β = 90.00°, γ = 90.00°
Atoms (fractional coordinates):
Na 0.000 0.000 0.000
Na 0.000 0.500 0.726
Na 0.500 0.000 0.274
Na 0.500 0.500 0.500
Zn 0.000 0.000 0.500
Pb 0.500 0.500 0.000
Au 0.000 0.500 0.271
Au 0.500 0.000 0.729

=====

Entry 2:
DFT (PBE) results for crystalline YTlCoOs at its relaxed geometry.

The calculation puts the total moment at 0.183 μB per atom. The total energy is -0.472 Ry/atom. Its crystal system is cubic.

a = 4.697 Å, b = 4.697 Å, c = 4.697 Å
α = 60.00°, β = 60.00°, γ = 60.00°
Atoms (fractional coordinates):
Y 0.000 0.000 0.000
Tl 0.500 0.500 0.500
Co 0.750 0.750 0.750
Os 0.250 0.250 0.250

=====

Entry 3:
DFT (PBE) results for crystalline AgIO3 at its relaxed geometry.

The total energy is -0.301 Ry/atom. Its crystal system is trigonal.

a = 6.269 Å, b = 6.269 Å, c = 6.269 Å
α = 54.54°, β = 54.54°, γ = 54.54°
Atoms (fractional coordinates):
Ag 0.000 0.000 0.000
Ag 0.500 0.500 0.500
I 0.273 0.273 0.273
I 0.773 0.773 0.773
O 0.020 0.455 0.680
O 0.180 0.955 0.520
O 0.455 0.680 0.020
O 0.520 0.180 0.955
O 0.680 0.020 0.455
O 0.955 0.520 0.180

=====

Entry 4:
DFT (PBE) results for crystalline NbZnAu at its relaxed geometry.

The calculation puts the total moment at 0.000 μB per atom. Its crystal system is cubic. The value obtained for the calculated formation energy is 0.3 eV per formula unit.

a = 4.341 Å, b = 4.341 Å, c = 4.341 Å
α = 60.00°, β = 60.00°, γ = 60.00°
Atoms (fractional coordinates):
Nb 0.000 0.000 0.000
Zn 0.500 0.500 0.500
Au 0.250 0.250 0.250

=====

Entry 5:
DFT (PBE) results for crystalline YHo2Al7Ag2 at its relaxed geometry.

The calculation puts the total moment at 0.001 μB per atom. The total energy is -0.324 Ry/atom. Its crystal system is trigonal.

a = 9.328 Å, b = 9.328 Å, c = 9.328 Å
α = 34.54°, β = 34.54°, γ = 34.54°
Atoms (fractional coordinates):
Y 0.000 0.000 0.000
Ho 0.142 0.142 0.142
Ho 0.858 0.858 0.858
Al 0.076 0.588 0.588
Al 0.412 0.412 0.924
Al 0.412 0.924 0.412
Al 0.500 0.500 0.500
Al 0.588 0.076 0.588
Al 0.588 0.588 0.076
Al 0.924 0.412 0.412
Ag 0.336 0.336 0.336
Ag 0.664 0.664 0.664

=====

Entry 6:
DFT (PBE) results for crystalline CsBi4Au4 at its relaxed geometry.

The total energy is -0.259 Ry/atom. Its crystal system is tetragonal.

a = 7.304 Å, b = 7.304 Å, c = 9.938 Å
α = 90.00°, β = 90.00°, γ = 90.00°
Atoms (fractional coordinates):
Cs 0.250 0.750 0.250
Cs 0.750 0.250 0.750
Bi 0.007 0.250 0.111
Bi 0.250 0.007 0.611
Bi 0.250 0.493 0.611
Bi 0.493 0.250 0.111
Bi 0.507 0.750 0.889
Bi 0.750 0.507 0.389
Bi 0.750 0.993 0.389
Bi 0.993 0.750 0.889
Au 0.057 0.250 0.403
Au 0.250 0.057 0.903
Au 0.250 0.443 0.903
Au 0.443 0.250 0.403
Au 0.557 0.750 0.597
Au 0.750 0.557 0.097
Au 0.750 0.943 0.097
Au 0.943 0.750 0.597

=====

Entry 7:
DFT (PBE) results for crystalline TbY2Sn3Pb4 at its relaxed geometry.

The calculation puts the total moment at 0.000 μB per atom. The total energy is -0.358 Ry/atom. Its crystal system is orthorhombic.

a = 13.619 Å, b = 13.619 Å, c = 4.590 Å
α = 90.00°, β = 90.00°, γ = 160.99°
Atoms (fractional coordinates):
Tb 0.000 0.000 0.000
Y 0.307 0.693 0.500
Y 0.693 0.307 0.500
Sn 0.211 0.789 0.000
Sn 0.500 0.500 0.500
Sn 0.789 0.211 0.000
Pb 0.097 0.903 0.500
Pb 0.402 0.598 0.000
Pb 0.598 0.402 0.000
Pb 0.903 0.097 0.500

=====

Entry 8:
DFT (PBE) results for crystalline LaNiB at its relaxed geometry.

The calculation puts the total moment at 0.013 μB per atom. The total energy is -0.400 Ry/atom. Its crystal system is cubic.

a = 4.258 Å, b = 4.258 Å, c = 4.258 Å
α = 60.00°, β = 60.00°, γ = 60.00°
Atoms (fractional coordinates):
La 0.000 0.000 0.000
Ni 0.500 0.500 0.500
B 0.250 0.250 0.250

=====

Entry 9:
DFT (PBE) results for crystalline LaZrCuPt at its relaxed geometry.

The calculation puts the total moment at 0.005 μB per atom. Its crystal system is cubic. The value obtained for the calculated formation energy is -1.6 eV per formula unit.

a = 4.936 Å, b = 4.936 Å, c = 4.936 Å
α = 60.00°, β = 60.00°, γ = 60.00°
Atoms (fractional coordinates):
La 0.000 0.000 0.000
Zr 0.500 0.500 0.500
Cu 0.750 0.750 0.750
Pt 0.250 0.250 0.250

=====

Entry 10:
DFT (PBE) results for crystalline Ga4Mo at its relaxed geometry.

The calculation puts the total moment at 0.000 μB per atom. The total energy is -0.350 Ry/atom. Its crystal system is tetragonal.

a = 5.879 Å, b = 5.879 Å, c = 5.880 Å
α = 90.00°, β = 90.00°, γ = 90.00°
Atoms (fractional coordinates):
Ga 0.249 0.251 0.250
Ga 0.249 0.251 0.750
Ga 0.251 0.751 0.250
Ga 0.251 0.751 0.750
Ga 0.749 0.249 0.250
Ga 0.749 0.249 0.750
Ga 0.751 0.749 0.250
Ga 0.751 0.749 0.750
Mo 0.000 0.000 0.000
Mo 0.500 0.500 0.500

=====

Entry 11:
DFT (PBE) results for crystalline Y2ErAg4Sn4 at its relaxed geometry.

The calculation puts the total moment at 0.000 μB per atom. The total energy is -0.335 Ry/atom. Its crystal system is orthorhombic.

a = 8.756 Å, b = 8.756 Å, c = 8.756 Å
α = 149.71°, β = 130.64°, γ = 59.01°
Atoms (fractional coordinates):
Y 0.127 0.127 0.000
Y 0.873 0.873 0.000
Er 0.500 0.000 0.500
Ag 0.128 0.328 0.800
Ag 0.473 0.672 0.800
Ag 0.527 0.328 0.200
Ag 0.872 0.672 0.200
Sn 0.198 0.500 0.698
Sn 0.287 0.787 0.500
Sn 0.713 0.213 0.500
Sn 0.802 0.500 0.302

=====

Entry 12:
DFT (PBE) results for crystalline PmSmS2I2 at its relaxed geometry.

The calculation puts the total moment at 0.002 μB per atom. The total energy is -0.381 Ry/atom. Its crystal system is tetragonal.

a = 4.784 Å, b = 4.784 Å, c = 7.692 Å
α = 90.00°, β = 90.00°, γ = 90.00°
Atoms (fractional coordinates):
Pm 0.000 0.000 0.000
Sm 0.500 0.500 0.373
S 0.000 0.500 0.189
S 0.500 0.000 0.189
I 0.000 0.000 0.568
I 0.500 0.500 0.806

=====

Entry 13:
DFT (PBE) results for crystalline YScBeNi at its relaxed geometry.

The calculation puts the total moment at 0.001 μB per atom. The total energy is -0.402 Ry/atom. Its crystal system is cubic.

a = 4.529 Å, b = 4.529 Å, c = 4.529 Å
α = 60.00°, β = 60.00°, γ = 60.00°
Atoms (fractional coordinates):
Y 0.000 0.000 0.000
Sc 0.250 0.250 0.250
Be 0.750 0.750 0.750
Ni 0.500 0.500 0.500

=====

Entry 14:
DFT (PBE) results for crystalline Y3Mg3CuAgPd at its relaxed geometry.

The calculation puts the total moment at 0.007 μB per atom. The total energy is -0.322 Ry/atom. Its crystal system is hexagonal.

a = 7.535 Å, b = 7.535 Å, c = 4.075 Å
α = 90.00°, β = 90.00°, γ = 120.00°
Atoms (fractional coordinates):
Y 0.084 0.736 0.000
Y 0.264 0.347 0.000
Y 0.653 0.916 0.000
Mg 0.426 0.092 0.500
Mg 0.666 0.574 0.500
Mg 0.908 0.334 0.500
Cu 0.667 0.333 0.000
Ag 0.000 0.000 0.500
Pd 0.333 0.667 0.500

=====

Entry 15:
DFT (PBE) results for crystalline Cs2FePbCl6 at its relaxed geometry.

The calculation puts the total moment at 0.400 μB per atom. The total energy is -0.283 Ry/atom. Its crystal system is tetragonal.

a = 7.558 Å, b = 7.558 Å, c = 7.558 Å
α = 120.15°, β = 120.15°, γ = 89.73°
Atoms (fractional coordinates):
Cs 0.250 0.750 0.500
Cs 0.750 0.250 0.500
Fe 0.000 0.000 0.000
Pb 0.500 0.500 0.000
Cl 0.231 0.231 0.463
Cl 0.231 0.769 0.000
Cl 0.233 0.233 0.000
Cl 0.767 0.767 0.000
Cl 0.769 0.231 0.000
Cl 0.769 0.769 0.537

=====

Entry 16:
DFT (PBE) results for crystalline TaZnIr2 at its relaxed geometry.

The calculation puts the total moment at 0.019 μB per atom. Its crystal system is cubic. The value obtained for the calculated formation energy is -0.1 eV per formula unit.

a = 4.434 Å, b = 4.434 Å, c = 4.434 Å
α = 60.00°, β = 60.00°, γ = 60.00°
Atoms (fractional coordinates):
Ta 0.000 0.000 0.000
Zn 0.750 0.750 0.750
Ir 0.250 0.250 0.250
Ir 0.500 0.500 0.500

=====

Entry 17:
DFT (PBE) results for crystalline Nd3Fe at its relaxed geometry.

The calculation puts the total moment at 0.682 μB per atom. Its crystal system is cubic. The value obtained for the calculated formation energy is 1.5 eV per formula unit.

a = 4.862 Å, b = 4.862 Å, c = 4.862 Å
α = 90.00°, β = 90.00°, γ = 90.00°
Atoms (fractional coordinates):
Nd 0.000 0.000 0.500
Nd 0.000 0.500 0.000
Nd 0.500 0.000 0.000
Fe 0.500 0.500 0.500

=====

Entry 18:
DFT (PBE) results for crystalline Mg4Os3 at its relaxed geometry.

The calculation puts the total moment at 0.000 μB per atom. The total energy is -0.408 Ry/atom. Its crystal system is hexagonal.

a = 7.807 Å, b = 7.807 Å, c = 4.412 Å
α = 90.00°, β = 90.00°, γ = 120.00°
Atoms (fractional coordinates):
Mg 0.139 0.859 0.250
Mg 0.141 0.280 0.250
Mg 0.280 0.139 0.750
Mg 0.333 0.667 0.250
Mg 0.667 0.333 0.750
Mg 0.720 0.861 0.250
Mg 0.859 0.720 0.750
Mg 0.861 0.141 0.750
Os 0.099 0.550 0.750
Os 0.450 0.549 0.750
Os 0.451 0.901 0.750
Os 0.549 0.099 0.250
Os 0.550 0.451 0.250
Os 0.901 0.450 0.250

=====

Entry 19:
DFT (PBE) results for crystalline NaZrNO at its relaxed geometry.

The calculation puts the total moment at 0.000 μB per atom. The total energy is -0.551 Ry/atom. Its crystal system is tetragonal.

a = 4.567 Å, b = 4.567 Å, c = 4.440 Å
α = 90.00°, β = 90.00°, γ = 90.00°
Atoms (fractional coordinates):
Na 0.250 0.250 0.001
Na 0.750 0.750 0.999
Zr 0.250 0.750 0.500
Zr 0.750 0.250 0.500
N 0.250 0.250 0.501
N 0.750 0.750 0.499
O 0.250 0.750 0.000
O 0.750 0.250 0.000

=====

Entry 20:
DFT (PBE) results for crystalline Sc7CoI12 at its relaxed geometry.

The calculation puts the total moment at 0.002 μB per atom. The total energy is -0.337 Ry/atom. Its crystal system is trigonal.

a = 9.395 Å, b = 9.395 Å, c = 9.395 Å
α = 107.25°, β = 107.25°, γ = 107.25°
Atoms (fractional coordinates):
Sc 0.000 0.000 0.000
Sc 0.220 0.411 0.477
Sc 0.411 0.477 0.220
Sc 0.477 0.220 0.411
Sc 0.523 0.780 0.589
Sc 0.589 0.523 0.780
Sc 0.780 0.589 0.523
Co 0.500 0.500 0.500
I 0.043 0.340 0.116
I 0.116 0.043 0.340
I 0.186 0.723 0.572
I 0.277 0.428 0.814
I 0.340 0.116 0.043
I 0.428 0.814 0.277
I 0.572 0.186 0.723
I 0.660 0.884 0.957
I 0.723 0.572 0.186
I 0.814 0.277 0.428
I 0.884 0.957 0.660
I 0.957 0.660 0.884